Sr6Ca2Ac | PBE-GGA | relaxed

Theoretical density = 3.01 g/cm³
Total magnetic moment = 0.00 Bohr magnetons per cell
E above lowest polymorph = 20 meV per atom

a b c (Å): 3.974 10.238 11.863
angles (deg): 78.09 80.36 78.81
Fractional positions:
Sr 0.775 0.341 0.109
Sr 0.225 0.659 0.891
Sr 0.381 0.686 0.553
Sr 0.049 0.662 0.241
Sr 0.951 0.338 0.759
Sr 0.619 0.314 0.447
Ca 0.339 0.015 0.308
Ca 0.661 0.985 0.692
Ac 0.000 0.000 0.000

=====

AgHRhO2 | PBE-GGA | relaxed

Raw total energy = -20.53 eV per cell
Theoretical density = 7.89 g/cm³
Total magnetic moment = 1.07 Bohr magnetons per cell

a b c (Å): 4.022 3.172 4.022
angles (deg): 90.00 90.00 90.00
Fractional positions:
H 0.000 0.000 0.000
Rh 0.000 0.500 0.000
O 0.000 0.000 0.500
O 0.500 0.000 0.000
Ag 0.500 0.500 0.500

=====

AsOsPb2 | PBE-GGA | relaxed

Raw total energy = -19.89 eV per cell
Theoretical density = 13.00 g/cm³
Total magnetic moment = 0.00 Bohr magnetons per cell

a b c (Å): 5.120 5.120 3.379
angles (deg): 90.00 90.00 101.46
Fractional positions:
Pb 0.000 0.000 0.000
Pb 0.500 0.500 0.000
As 0.500 0.000 0.500
Os 0.000 0.500 0.500

=====

Sc2AlRh | PBE-GGA | relaxed

Raw total energy = -26.17 eV per cell
Theoretical density = 4.85 g/cm³
Total magnetic moment = 0.05 Bohr magnetons per cell

a b c (Å): 3.104 3.104 7.806
angles (deg): 90.00 90.00 90.00
Fractional positions:
Sc 0.000 0.000 0.945
Sc 0.500 0.500 0.283
Rh 0.500 0.500 0.724
Al 0.000 0.000 0.548

=====

Ti8Ga2Cu3 | PBE-GGA | relaxed

Raw total energy = -80.54 eV per cell
Theoretical density = 5.47 g/cm³
Total magnetic moment = 0.00 Bohr magnetons per cell

a b c (Å): 4.609 7.108 7.502
angles (deg): 118.28 90.00 90.00
Fractional positions:
Ti 0.000 0.694 0.387
Ti 0.000 0.306 0.613
Ti 0.000 0.100 0.199
Ti 0.000 0.900 0.801
Ti 0.500 0.577 0.773
Ti 0.500 0.196 0.773
Ti 0.500 0.804 0.227
Ti 0.500 0.423 0.227
Ga 0.500 0.214 0.428
Ga 0.500 0.786 0.572
Cu 0.500 0.000 0.000
Cu 0.000 0.330 0.000
Cu 0.000 0.670 0.000

=====

GdScPd | PBE-GGA | relaxed

Theoretical density = 6.67 g/cm³
Total magnetic moment = 7.29 Bohr magnetons per cell
E above lowest polymorph = 116 meV per atom

a b c (Å): 4.773 4.773 4.773
angles (deg): 60.00 60.00 60.00
Fractional positions:
Sc 0.500 0.500 0.500
Gd 0.000 0.000 0.000
Pd 0.250 0.250 0.250

=====

PaTi2P2 | PBE-GGA | relaxed

Raw total energy = -80.21 eV per cell
Theoretical density = 6.71 g/cm³
Total magnetic moment = 1.00 Bohr magnetons per cell

a b c (Å): 6.466 6.466 6.256
angles (deg): 115.49 115.49 99.45
Fractional positions:
Pa 0.875 0.625 0.750
Pa 0.125 0.375 0.250
Ti 0.234 0.984 0.469
Ti 0.484 0.734 0.969
Ti 0.766 0.016 0.531
Ti 0.516 0.266 0.031
P 0.159 0.341 0.750
P 0.408 0.092 0.250
P 0.592 0.908 0.750
P 0.841 0.659 0.250

=====

BeSn3Sb | PBE-GGA | relaxed

Theoretical density = 6.47 g/cm³
Total magnetic moment = 0.00 Bohr magnetons per cell
Formation energy (no corrections) = 0.276 eV/atom
E above lowest polymorph = 0 meV per atom

a b c (Å): 5.001 5.001 5.001
angles (deg): 90.00 90.00 90.00
Fractional positions:
Sb 0.500 0.500 0.500
Sn 0.000 0.500 0.000
Sn 0.000 0.000 0.500
Sn 0.500 0.000 0.000
Be 0.000 0.000 0.000

=====

Look up the total magnetic moment of the second one. 1.07 Bohr magnetons per cell

=====

Which of these has the highest theoretical density? AsOsPb2